PBE-GGA SrCd3Pt, optimized geometry; symmetry = P2_1/m, No. 11; DFT formation energy = -2.115 eV/f.u.; total moment = 0.0 Bohr magnetons per cell
1.0
5.7758 0.4149 0.0000
2.3564 7.1643 0.0000
0.0000 -0.0001 6.0801
Pt Cd Sr
2 6 2
Direct
0.6436 0.9486 0.0524
0.9170 0.0171 0.5524
0.0598 0.6774 0.2973
0.5008 0.2883 0.7973
0.9619 0.3673 0.5524
0.5987 0.5984 0.0524
0.5008 0.2883 0.3074
0.0598 0.6774 0.8074
0.4897 0.8582 0.5524
0.0709 0.1074 0.0524